(1)
The following is a PBEsol calculation of a relaxed structure of Ag3Se, from Alexandria via LeMat-Bulk.

Calculated values
total magnetization: 0.0 μB/f.u.
total DFT energy (no corrections): -3.4262 eV per atom
ΔE_f (raw): 0.020 eV/atom

abc: 5.8761 5.8761 4.7069
angles: 90.00 90.00 120.00
Space group P6_3/mmc (No. 194)
Asymmetric unit:
Ag: 0.1626 0.3252 0.2500 x6
Se: 0.3333 0.6667 0.7500 x2

---

(2)
The following is a PBEsol calculation of a relaxed structure of AgSe2, from Alexandria via LeMat-Bulk.

Calculated values
total magnetization: 0.0 μB/f.u.
total DFT energy (no corrections): -3.6759 eV per atom
ΔE_f (raw): -0.005 eV/atom

abc: 12.978 3.890 5.558
angles: 90.00 108.16 90.00
Space group C2/m (No. 12)
Asymmetric unit:
Ag: 0.036 0.000 0.277 x4
Se: 0.110 0.500 0.793 x4
Se: 0.167 0.500 0.234 x4

---

(3)
The following is a PBEsol calculation of a relaxed structure of AgSe2, from Alexandria via LeMat-Bulk.

Calculated values
total magnetization: 0.0 μB/f.u.
total DFT energy (no corrections): -3.7162 eV per atom
ΔE_f (raw): -0.046 eV/atom

abc: 6.411 6.411 6.411
angles: 90.00 90.00 90.00
Space group Pa-3 (No. 205)
Asymmetric unit:
Ag: 0.000 0.000 0.000 x4
Se: 0.105 0.605 0.895 x8

---

(4)
The following is a PBEsol calculation of a relaxed structure of Ag3Se, from Alexandria via LeMat-Bulk.

Calculated values
total magnetization: 0.0 μB/f.u.
total DFT energy (no corrections): -3.3433 eV per atom
ΔE_f (raw): 0.103 eV/atom

abc: 2.886 4.679 5.249
angles: 90.00 90.00 90.00
Space group Pmm2 (No. 25)
Asymmetric unit:
Ag: 0.000 0.000 0.000 x1
Ag: 0.000 0.500 0.303 x1
Ag: 0.500 0.000 0.479 x1
Se: 0.500 0.500 0.787 x1